Compound: ScBe13
Source: Alexandria
Functional: SCAN
Structure: PBEsol geometry

DOS(E_F) ... 7.412 states/eV/cell
Total DFT energy (no corrections) ... -0.3831 Ry per atom
M_tot ... 0.000 μB per formula unit
Energy of formation from the pure elements ... -207 kJ/mol of formula units

Geometry as extended XYZ:
```
28
Lattice="7.0651 0.0000 0.0000 3.5325 6.1185 0.0000 3.5325 2.0395 5.7686" Properties=species:S:1:pos:R:3 pbc="T T T"
Be 7.0651 4.0790 2.8843
Be 0.0000 0.0000 0.0000
Be 5.8104 3.8623 1.1944
Be 5.8104 5.7445 2.5254
Be 8.3197 2.4135 3.2432
Be 8.3197 4.2958 4.5742
Be 7.5047 5.2739 1.1944
Be 9.1347 4.3328 2.5254
Be 4.9954 3.8252 3.2432
Be 6.6255 2.8841 4.5742
Be 7.8801 3.1008 1.1944
Be 6.2500 2.1597 2.5254
Be 7.8801 5.9983 3.2432
Be 6.2500 5.0572 4.5742
Be 5.6022 5.8647 0.3589
Be 3.9721 4.9236 1.6899
Be 10.1580 3.2344 4.0787
Be 8.5279 2.2933 5.4097
Be 7.8801 6.2387 5.4097
Be 6.2500 7.1799 4.0787
Be 7.8801 0.9782 1.6899
Be 6.2500 1.9193 0.3589
Be 4.7872 1.8228 4.0787
Be 4.7872 3.7050 5.4097
Be 9.3430 4.4530 0.3589
Be 9.3430 6.3353 1.6899
Sc 10.5976 6.1185 4.3265
Sc 3.5325 2.0395 1.4422
```